Material: Dy2YEr3Se6
Method: DFT, GGA-PBE
State: optimized geometry

The structure in CIF format:
```
data_Dy2YEr3Se6
_cell_length_a 4.044
_cell_length_b 8.153
_cell_length_c 9.074
_cell_angle_alpha 103.35
_cell_angle_beta 102.87
_cell_angle_gamma 90.00
_symmetry_space_group_name_H-M 'P 1'
_symmetry_Int_Tables_number 1
_symmetry_space_group_name_Hall 'P 1'
loop_
_atom_site_label
_atom_site_fract_x
_atom_site_fract_y
_atom_site_fract_z
_atom_site_occupancy
Dy1 0.833 0.667 0.667 1
Dy2 0.167 0.333 0.333 1
Y1 0.500 0.000 0.000 1
Er1 0.500 0.500 0.000 1
Er2 0.834 0.167 0.667 1
Er3 0.166 0.833 0.333 1
Se1 0.332 0.919 0.664 1
Se2 0.666 0.585 0.332 1
Se3 0.668 0.081 0.336 1
Se4 0.999 0.253 0.999 1
Se5 0.001 0.747 0.001 1
Se6 0.334 0.415 0.668 1
```

=====

# GGA-PBE Dy2ErSi2, optimized geometry
data_Dy2ErSi2
_cell_length_a 4.282
_cell_length_b 6.420
_cell_length_c 9.588
_cell_angle_alpha 77.71
_cell_angle_beta 77.10
_cell_angle_gamma 70.52
_symmetry_space_group_name_H-M 'P 1'
_symmetry_Int_Tables_number 1
_symmetry_space_group_name_Hall 'P 1'
loop_
_atom_site_label
_atom_site_fract_x
_atom_site_fract_y
_atom_site_fract_z
_atom_site_occupancy
Dy1 0.319 0.273 0.088 1
Dy2 0.484 0.345 0.688 1
Dy3 0.681 0.727 0.912 1
Dy4 0.516 0.655 0.312 1
Er1 0.779 0.080 0.362 1
Er2 0.221 0.920 0.638 1
Si1 0.980 0.146 0.895 1
Si2 0.111 0.337 0.440 1
Si3 0.020 0.854 0.105 1
Si4 0.889 0.663 0.560 1
# polymorph energy (0 for the lowest one)	0.100	eV per atom

=====

Q: Which energy relative to the elements, uncorrected values were calculated for the entries above? A: -1724 -617, in meV per atom.
Q: Which density of states at the Fermi level values were calculated for the entries above? A: 0.46 0.57, in states/eV per atom.
Q: Which theoretical density values were calculated for the entries above? A: 8.143 7.606, in g/cm3.